1.
# Pr2Al2BOs2 (GGA-PBE, relaxed)
data_Pr2Al2BOs2
_cell_length_a 5.829
_cell_length_b 5.829
_cell_length_c 7.470
_cell_angle_alpha 125.26
_cell_angle_beta 125.26
_cell_angle_gamma 45.14
_space_group_name_H-M_alt 'P 1'
_space_group_IT_number 1
loop_
_space_group_symop_operation_xyz
'x,y,z'
loop_
_atom_site_label
_atom_site_type_symbol
_atom_site_fract_x
_atom_site_fract_y
_atom_site_fract_z
_atom_site_occupancy
Pr1 Pr 0.062 0.062 0.326 1
Pr2 Pr 0.938 0.938 0.674 1
Al1 Al 0.335 0.335 0.894 1
Al2 Al 0.665 0.665 0.106 1
B1 B 0.500 0.500 0.500 1
Os1 Os 0.292 0.292 0.188 1
Os2 Os 0.708 0.708 0.812 1
# E_form, meV per atom: -406

2.
# Ca2P3Pd5 (GGA-PBE, relaxed)
data_Ca2P3Pd5
_cell_length_a 12.220
_cell_length_b 12.220
_cell_length_c 6.824
_cell_angle_alpha 90.00
_cell_angle_beta 90.00
_cell_angle_gamma 160.28
_space_group_name_H-M_alt 'P 1'
_space_group_IT_number 1
loop_
_space_group_symop_operation_xyz
'x,y,z'
loop_
_atom_site_label
_atom_site_type_symbol
_atom_site_fract_x
_atom_site_fract_y
_atom_site_fract_z
_atom_site_occupancy
Ca1 Ca 0.027 0.973 0.500 1
Ca2 Ca 0.327 0.673 0.508 1
Ca3 Ca 0.673 0.327 0.008 1
Ca4 Ca 0.973 0.027 0.000 1
P1 P 0.113 0.887 0.767 1
P2 P 0.268 0.732 0.993 1
P3 P 0.448 0.552 0.718 1
P4 P 0.552 0.448 0.218 1
P5 P 0.732 0.268 0.493 1
P6 P 0.887 0.113 0.267 1
Pd1 Pd 0.088 0.912 0.107 1
Pd2 Pd 0.210 0.790 0.702 1
Pd3 Pd 0.215 0.785 0.295 1
Pd4 Pd 0.367 0.633 0.997 1
Pd5 Pd 0.442 0.558 0.336 1
Pd6 Pd 0.558 0.442 0.836 1
Pd7 Pd 0.633 0.367 0.497 1
Pd8 Pd 0.785 0.215 0.795 1
Pd9 Pd 0.790 0.210 0.202 1
Pd10 Pd 0.912 0.088 0.607 1
# E_form, meV per atom: -728

3.
# Tm3ZrTl4 (GGA-PBE, relaxed)
data_Tm3ZrTl4
_cell_length_a 10.678
_cell_length_b 7.032
_cell_length_c 5.424
_cell_angle_alpha 90.00
_cell_angle_beta 90.00
_cell_angle_gamma 90.00
_space_group_name_H-M_alt 'P 1'
_space_group_IT_number 1
loop_
_space_group_symop_operation_xyz
'x,y,z'
loop_
_atom_site_label
_atom_site_type_symbol
_atom_site_fract_x
_atom_site_fract_y
_atom_site_fract_z
_atom_site_occupancy
Tm1 Tm 0.000 0.000 0.000 1
Tm2 Tm 0.250 0.000 0.430 1
Tm3 Tm 0.250 0.500 0.418 1
Tm4 Tm 0.500 0.000 0.000 1
Tm5 Tm 0.750 0.000 0.570 1
Tm6 Tm 0.750 0.500 0.582 1
Zr1 Zr 0.000 0.500 0.000 1
Zr2 Zr 0.500 0.500 0.000 1
Tl1 Tl 0.000 0.254 0.500 1
Tl2 Tl 0.000 0.746 0.500 1
Tl3 Tl 0.250 0.254 0.923 1
Tl4 Tl 0.250 0.746 0.923 1
Tl5 Tl 0.500 0.254 0.500 1
Tl6 Tl 0.500 0.746 0.500 1
Tl7 Tl 0.750 0.254 0.077 1
Tl8 Tl 0.750 0.746 0.077 1
# E_form, meV per atom: -197

4.
A plane-wave DFT calculation with GGA-PBE was carried out for a relaxed PuSnHgSb crystal.

Cell and atoms, written as CIF:
```
data_PuSnHgSb
_cell_length_a 4.434
_cell_length_b 4.601
_cell_length_c 4.953
_cell_angle_alpha 90.00
_cell_angle_beta 90.00
_cell_angle_gamma 90.00
_space_group_name_H-M_alt 'P 1'
_space_group_IT_number 1
loop_
_space_group_symop_operation_xyz
'x,y,z'
loop_
_atom_site_label
_atom_site_type_symbol
_atom_site_fract_x
_atom_site_fract_y
_atom_site_fract_z
_atom_site_occupancy
Pu1 Pu 0.000 0.000 0.000 1
Sn1 Sn 0.500 0.000 0.500 1
Hg1 Hg 0.000 0.500 0.500 1
Sb1 Sb 0.500 0.500 0.000 1
```

5.
# TbPmAl (GGA-PBE, relaxed)
data_TbPmAl
_cell_length_a 8.229
_cell_length_b 8.229
_cell_length_c 8.229
_cell_angle_alpha 24.69
_cell_angle_beta 24.69
_cell_angle_gamma 24.69
_space_group_name_H-M_alt 'P 1'
_space_group_IT_number 1
loop_
_space_group_symop_operation_xyz
'x,y,z'
loop_
_atom_site_label
_atom_site_type_symbol
_atom_site_fract_x
_atom_site_fract_y
_atom_site_fract_z
_atom_site_occupancy
Tb1 Tb 0.000 0.000 0.000 1
Pm1 Pm 0.206 0.206 0.206 1
Al1 Al 0.768 0.768 0.768 1
# E_form, meV per atom: -4

6.
# NaCdGa2 (GGA-PBE, relaxed)
data_NaCdGa2
_cell_length_a 4.293
_cell_length_b 4.293
_cell_length_c 4.526
_cell_angle_alpha 90.00
_cell_angle_beta 90.00
_cell_angle_gamma 90.00
_space_group_name_H-M_alt 'P 1'
_space_group_IT_number 1
loop_
_space_group_symop_operation_xyz
'x,y,z'
loop_
_atom_site_label
_atom_site_type_symbol
_atom_site_fract_x
_atom_site_fract_y
_atom_site_fract_z
_atom_site_occupancy
Na1 Na 0.000 0.000 0.000 1
Cd1 Cd 0.500 0.500 0.000 1
Ga1 Ga 0.000 0.500 0.500 1
Ga2 Ga 0.500 0.000 0.500 1
# E_form, meV per atom: -14

7.
# Ta3TiRe4 (GGA-PBE, relaxed)
data_Ta3TiRe4
_cell_length_a 3.184
_cell_length_b 3.184
_cell_length_c 12.711
_cell_angle_alpha 90.00
_cell_angle_beta 90.00
_cell_angle_gamma 90.00
_space_group_name_H-M_alt 'P 1'
_space_group_IT_number 1
loop_
_space_group_symop_operation_xyz
'x,y,z'
loop_
_atom_site_label
_atom_site_type_symbol
_atom_site_fract_x
_atom_site_fract_y
_atom_site_fract_z
_atom_site_occupancy
Ta1 Ta 0.000 0.000 0.000 1
Ta2 Ta 0.000 0.000 0.254 1
Ta3 Ta 0.000 0.000 0.746 1
Ti1 Ti 0.000 0.000 0.500 1
Re1 Re 0.500 0.500 0.126 1
Re2 Re 0.500 0.500 0.378 1
Re3 Re 0.500 0.500 0.622 1
Re4 Re 0.500 0.500 0.874 1
# E_form, meV per atom: -438

8.
# LiZn9Tc2 (GGA-PBE, relaxed)
data_LiZn9Tc2
_cell_length_a 3.786
_cell_length_b 3.786
_cell_length_c 11.873
_cell_angle_alpha 90.00
_cell_angle_beta 90.00
_cell_angle_gamma 90.00
_space_group_name_H-M_alt 'P 1'
_space_group_IT_number 1
loop_
_space_group_symop_operation_xyz
'x,y,z'
loop_
_atom_site_label
_atom_site_type_symbol
_atom_site_fract_x
_atom_site_fract_y
_atom_site_fract_z
_atom_site_occupancy
Li1 Li 0.000 0.000 0.000 1
Zn1 Zn 0.000 0.500 0.168 1
Zn2 Zn 0.000 0.500 0.500 1
Zn3 Zn 0.000 0.500 0.832 1
Zn4 Zn 0.500 0.000 0.168 1
Zn5 Zn 0.500 0.000 0.500 1
Zn6 Zn 0.500 0.000 0.832 1
Zn7 Zn 0.500 0.500 0.000 1
Zn8 Zn 0.500 0.500 0.332 1
Zn9 Zn 0.500 0.500 0.668 1
Tc1 Tc 0.000 0.000 0.338 1
Tc2 Tc 0.000 0.000 0.662 1
# E_form, meV per atom: -86

9.
# La2Pm5ErTm (GGA-PBE, relaxed)
data_La2Pm5ErTm
_cell_length_a 10.539
_cell_length_b 10.539
_cell_length_c 10.799
_cell_angle_alpha 90.00
_cell_angle_beta 90.00
_cell_angle_gamma 148.61
_space_group_name_H-M_alt 'P 1'
_space_group_IT_number 1
loop_
_space_group_symop_operation_xyz
'x,y,z'
loop_
_atom_site_label
_atom_site_type_symbol
_atom_site_fract_x
_atom_site_fract_y
_atom_site_fract_z
_atom_site_occupancy
La1 La 0.114 0.886 0.500 1
La2 La 0.117 0.883 0.081 1
La3 La 0.883 0.117 0.581 1
La4 La 0.886 0.114 0.000 1
Pm1 Pm 0.015 0.985 0.784 1
Pm2 Pm 0.278 0.722 0.077 1
Pm3 Pm 0.296 0.704 0.468 1
Pm4 Pm 0.383 0.617 0.785 1
Pm5 Pm 0.483 0.517 0.508 1
Pm6 Pm 0.517 0.483 0.008 1
Pm7 Pm 0.617 0.383 0.285 1
Pm8 Pm 0.704 0.296 0.968 1
Pm9 Pm 0.722 0.278 0.577 1
Pm10 Pm 0.985 0.015 0.284 1
Er1 Er 0.407 0.593 0.229 1
Er2 Er 0.593 0.407 0.729 1
Tm1 Tm 0.199 0.801 0.775 1
Tm2 Tm 0.801 0.199 0.275 1
# E_form, meV per atom: 127

10.
# MgCd2Pd5 (GGA-PBE, relaxed)
data_MgCd2Pd5
_cell_length_a 7.870
_cell_length_b 7.870
_cell_length_c 7.870
_cell_angle_alpha 148.52
_cell_angle_beta 148.52
_cell_angle_gamma 45.12
_space_group_name_H-M_alt 'P 1'
_space_group_IT_number 1
loop_
_space_group_symop_operation_xyz
'x,y,z'
loop_
_atom_site_label
_atom_site_type_symbol
_atom_site_fract_x
_atom_site_fract_y
_atom_site_fract_z
_atom_site_occupancy
Mg1 Mg 0.000 0.000 0.000 1
Cd1 Cd 0.250 0.250 0.000 1
Cd2 Cd 0.750 0.750 0.000 1
Pd1 Pd 0.121 0.621 0.500 1
Pd2 Pd 0.379 0.879 0.500 1
Pd3 Pd 0.500 0.500 0.000 1
Pd4 Pd 0.621 0.121 0.500 1
Pd5 Pd 0.879 0.379 0.500 1
# E_form, meV per atom: -448

11.
# Tb2HoAl2Zn2 (GGA-PBE, relaxed)
data_Tb2HoAl2Zn2
_cell_length_a 9.432
_cell_length_b 9.432
_cell_length_c 9.432
_cell_angle_alpha 27.61
_cell_angle_beta 27.61
_cell_angle_gamma 27.61
_space_group_name_H-M_alt 'P 1'
_space_group_IT_number 1
loop_
_space_group_symop_operation_xyz
'x,y,z'
loop_
_atom_site_label
_atom_site_type_symbol
_atom_site_fract_x
_atom_site_fract_y
_atom_site_fract_z
_atom_site_occupancy
Tb1 Tb 0.127 0.127 0.127 1
Tb2 Tb 0.873 0.873 0.873 1
Ho1 Ho 0.000 0.000 0.000 1
Al1 Al 0.265 0.265 0.265 1
Al2 Al 0.735 0.735 0.735 1
Zn1 Zn 0.396 0.396 0.396 1
Zn2 Zn 0.604 0.604 0.604 1
# E_form, meV per atom: -313

12.
A plane-wave DFT calculation with GGA-PBE was carried out for a relaxed Cs2LaPbI6 crystal.

Cell and atoms, written as CIF:
```
data_Cs2LaPbI6
_cell_length_a 9.180
_cell_length_b 9.180
_cell_length_c 9.180
_cell_angle_alpha 119.98
_cell_angle_beta 119.98
_cell_angle_gamma 90.03
_space_group_name_H-M_alt 'P 1'
_space_group_IT_number 1
loop_
_space_group_symop_operation_xyz
'x,y,z'
loop_
_atom_site_label
_atom_site_type_symbol
_atom_site_fract_x
_atom_site_fract_y
_atom_site_fract_z
_atom_site_occupancy
Cs1 Cs 0.250 0.750 0.500 1
Cs2 Cs 0.750 0.250 0.500 1
La1 La 0.000 0.000 0.000 1
Pb1 Pb 0.500 0.500 0.000 1
I1 I 0.244 0.244 0.000 1
I2 I 0.244 0.244 0.488 1
I3 I 0.244 0.756 0.000 1
I4 I 0.756 0.244 0.000 1
I5 I 0.756 0.756 0.000 1
I6 I 0.756 0.756 0.512 1
```

| no. | final energy (eV/atom) | magnetic moment (μB per cell) |
| --- | --- | --- |
| 1 | -7.00 | 0.000 |
| 2 | -5.35 | 0.000 |
| 3 | -4.13 | 0.000 |
| 4 | -6.03 | 5.383 |
| 5 | -4.38 | 0.000 |
| 6 | -2.09 | 0.000 |
| 7 | -12.09 | 0.000 |
| 8 | -2.93 | 0.651 |
| 9 | -4.61 | 0.000 |
| 10 | -4.12 | 0.000 |
| 11 | -3.72 | 0.000 |
| 12 | -3.15 | 1.000 |